A relaxed FeIr2WO crystal, computed with GGA+U.

The space group is P4/mmm (No. 123) and the conventional cell measures 4.946, 4.946 and 3.726 Å, with angles of 90.00, 90.00 and 90.00 degrees. The asymmetric unit holds Fe at (0.000, 0.000, 0.000), Ir at (0.000, 0.500, 0.500), W at (0.500, 0.500, 0.500) and O at (0.500, 0.500, 0.000).

The crystal system is tetragonal. For the total energy, the calculation gives -6.2852 eV per atom.